AlCdAsBr2 after structural relaxation, computed with PBE.

Lattice parameters (Å, degrees): 5.672 5.672 5.275 90.00 90.00 90.00
Last column: magnetic moment on the atom in μB.
Positions (direct):
As: 0.000 0.000 0.500  0.74
Al: 0.500 0.500 0.500  0.02
Br: 0.000 0.500 0.000  0.08
Br: 0.500 0.000 0.000  0.08
Cd: 0.000 0.000 0.000  0.01

Computed properties:
- E_tot (eV/atom) = -2.310
- crystal system = tetragonal
- raw formation energy (eV/atom) = 0.22
- offset from the most stable computed form (eV/atom) = 0.3109
- theoretical density (g/cm3) = 3.7
- M_tot (μB/cell) = 1.98


AlCdAsBr2 after structural relaxation, computed with PBE.

Lattice parameters (Å, degrees): 4.996 4.996 5.265 90.00 90.00 90.00
Positions (direct):
Br: 0.000 0.500 0.000
Br: 0.500 0.000 0.000
Al: 0.000 0.000 0.000
As: 0.000 0.000 0.500
Cd: 0.500 0.500 0.500

Computed properties:
- E_tot (eV/atom) = -2.621
- crystal system = tetragonal
- raw formation energy (eV/atom) = -0.09
- offset from the most stable computed form (eV/atom) = 0.0000
- theoretical density (g/cm3) = 4.7
- M_tot (μB/cell) = 0.00


AlAs2BrCl after structural relaxation, computed with PBE.

Lattice parameters (Å, degrees): 4.745 4.745 6.876 90.00 90.00 90.00
Positions (direct):
Br: 0.000 0.000 0.500
As: 0.500 0.000 0.000
As: 0.000 0.500 0.000
Al: 0.500 0.500 0.500
Cl: 0.000 0.000 0.000

Computed properties:
- E_tot (eV/atom) = -2.534
- crystal system = tetragonal
- raw formation energy (eV/atom) = 0.78
- offset from the most stable computed form (eV/atom) = 0.4879
- theoretical density (g/cm3) = 3.1
- M_tot (μB/cell) = 0.00


AlAsBr2Cl after structural relaxation, computed with PBE.

Lattice parameters (Å, degrees): 4.885 4.885 5.438 90.00 90.00 90.00
Last column: magnetic moment on the atom in μB.
Positions (direct):
Al: 0.000 0.000 0.000  -0.01
Br: 0.000 0.500 0.000  0.02
Br: 0.500 0.000 0.000  0.02
Cl: 0.500 0.500 0.500  -0.05
As: 0.000 0.000 0.500  0.43

Computed properties:
- E_tot (eV/atom) = -2.775
- crystal system = tetragonal
- raw formation energy (eV/atom) = -0.06
- offset from the most stable computed form (eV/atom) = 0.0000
- theoretical density (g/cm3) = 3.8
- M_tot (μB/cell) = 0.86


AlAs2BrCl after structural relaxation, computed with PBE.

Lattice parameters (Å, degrees): 4.989 4.989 4.970 90.00 90.00 90.00
Last column: magnetic moment on the atom in μB.
Positions (direct):
As: 0.000 0.500 0.000  0.19
As: 0.500 0.000 0.000  0.19
Cl: 0.500 0.500 0.500  0.01
Br: 0.000 0.000 0.500  0.03
Al: 0.000 0.000 0.000  -0.01

Computed properties:
- E_tot (eV/atom) = -3.022
- crystal system = tetragonal
- raw formation energy (eV/atom) = 0.29
- offset from the most stable computed form (eV/atom) = 0.0000
- theoretical density (g/cm3) = 3.9
- M_tot (μB/cell) = 0.85


AlAsBr2Cl after structural relaxation, computed with PBE.

Lattice parameters (Å, degrees): 6.342 6.342 4.542 90.00 90.00 90.00
Last column: magnetic moment on the atom in μB.
Positions (direct):
As: 0.000 0.000 0.500  0.15
Br: 0.000 0.500 0.000  0.07
Br: 0.500 0.000 0.000  0.07
Al: 0.500 0.500 0.500  0.00
Cl: 0.000 0.000 0.000  0.02

Computed properties:
- E_tot (eV/atom) = -2.157
- crystal system = tetragonal
- raw formation energy (eV/atom) = 0.56
- offset from the most stable computed form (eV/atom) = 0.6180
- theoretical density (g/cm3) = 2.7
- M_tot (μB/cell) = 0.50


AlCoAs2Br after structural relaxation, computed with PBE.

Lattice parameters (Å, degrees): 4.847 4.847 5.072 90.00 90.00 90.00
Last column: magnetic moment on the atom in μB.
Positions (direct):
Al: 0.000 0.000 0.000  0.00
As: 0.500 0.000 0.000  0.08
As: 0.000 0.500 0.000  0.08
Br: 0.000 0.000 0.500  0.09
Co: 0.500 0.500 0.500  2.24

Computed properties:
- E_tot (eV/atom) = -3.519
- crystal system = tetragonal
- raw formation energy (eV/atom) = 0.85
- offset from the most stable computed form (eV/atom) = 0.4681
- theoretical density (g/cm3) = 4.4
- M_tot (μB/cell) = 2.75


AlCoAs2Br after structural relaxation, computed with PBE.

Lattice parameters (Å, degrees): 4.496 4.496 5.507 90.00 90.00 90.00
Positions (direct):
As: 0.500 0.000 0.000
As: 0.000 0.500 0.000
Br: 0.000 0.000 0.500
Co: 0.000 0.000 0.000
Al: 0.500 0.500 0.500

Computed properties:
- E_tot (eV/atom) = -3.987
- crystal system = tetragonal
- raw formation energy (eV/atom) = 0.38
- offset from the most stable computed form (eV/atom) = 0.0000
- theoretical density (g/cm3) = 4.7
- M_tot (μB/cell) = 0.00